No. 1
# DyTmGa

A relaxed DyTmGa crystal (GGA-PBE, the Alexandria database). Values from VASP.

Quantum ESPRESSO input file:
```
&SYSTEM
  ibrav = 0, nat = 6, ntyp = 3
/
ATOMIC_SPECIES
Dy 162.50 Dy.upf
Tm 168.93 Tm.upf
Ga 69.72 Ga.upf
CELL_PARAMETERS angstrom
3.4405 0.0000 0.0000
0.0000 3.4405 0.0000
0.0000 0.0000 12.9632
ATOMIC_POSITIONS angstrom
Dy 0.0000 0.0000 0.0000
Dy 1.7202 1.7202 6.4816
Tm 0.0000 0.0000 3.7935
Tm 1.7202 1.7202 10.2751
Ga 0.0000 0.0000 8.4089
Ga 1.7202 1.7202 1.9273
```

## Properties
The calculation puts the calculated total energy at -0.32449 Ry/atom. For the energy above the most stable polymorph in this dataset, the calculation gives 0.0139 eV/atom. The calculation puts the formation enthalpy at 0 K at -0.381 eV per atom. The value obtained for the size of the total moment is 0.0 μB/f.u. Its space-group type is No. 107.

No. 2
# Dy6Tm2Ga

A relaxed Dy6Tm2Ga crystal (GGA-PBE, the Alexandria database). Values from VASP.

Quantum ESPRESSO input file:
```
&SYSTEM
  ibrav = 0, nat = 9, ntyp = 3
/
ATOMIC_SPECIES
Dy 162.50 Dy.upf
Tm 168.93 Tm.upf
Ga 69.72 Ga.upf
CELL_PARAMETERS angstrom
8.5278 -4.5701 0.0000
8.5278 4.5701 0.0000
-0.0050 0.0000 3.5060
ATOMIC_POSITIONS angstrom
Dy 5.7594 1.5780 1.7553
Dy 8.5278 2.6210 0.0000
Dy 11.2910 1.5780 1.7507
Dy 5.7594 -1.5780 1.7553
Dy 8.5278 -2.6210 0.0000
Dy 11.2910 -1.5780 1.7507
Tm 3.0491 0.0000 3.5031
Tm 14.0013 0.0000 0.0028
Ga 8.5252 0.0000 1.7530
```

## Properties
The calculation puts the calculated total energy at -0.32181 Ry/atom. The calculation puts the formation enthalpy at 0 K at 0.020 eV per atom. The value obtained for the size of the total moment is 0.0 μB/f.u. Its space-group type is No. 12.

No. 3
# Dy3TmGa8

A relaxed Dy3TmGa8 crystal (GGA-PBE, the Alexandria database). Values from VASP.

Quantum ESPRESSO input file:
```
&SYSTEM
  ibrav = 0, nat = 12, ntyp = 3
/
ATOMIC_SPECIES
Dy 162.50 Dy.upf
Tm 168.93 Tm.upf
Ga 69.72 Ga.upf
CELL_PARAMETERS angstrom
2.7364 1.5799 9.0614
-2.7364 1.5799 9.0614
0.0000 -3.1597 9.0614
ATOMIC_POSITIONS angstrom
Dy 0.0000 0.0000 0.0000
Dy 0.0000 0.0000 3.3731
Dy 0.0000 0.0000 16.9544
Tm 0.0000 0.0000 13.5975
Ga 0.0000 -1.5796 6.2077
Ga -1.3679 0.7898 6.2077
Ga -1.3675 -0.7895 10.7536
Ga 0.0000 0.0000 8.4780
Ga 1.3679 0.7898 6.2077
Ga 1.3675 -0.7895 10.7536
Ga 0.0000 1.5790 10.7536
Ga 0.0000 0.0000 22.0761
```

## Properties
The calculation puts the calculated total energy at -0.30058 Ry/atom. The calculation puts the formation enthalpy at 0 K at -0.549 eV per atom. The value obtained for the size of the total moment is 0.0 μB/f.u. Its space-group type is No. 160.

No. 4
# Dy2TmGa3

A relaxed Dy2TmGa3 crystal (GGA-PBE, the Alexandria database). Values from VASP.

Quantum ESPRESSO input file:
```
&SYSTEM
  ibrav = 0, nat = 12, ntyp = 3
/
ATOMIC_SPECIES
Dy 162.50 Dy.upf
Tm 168.93 Tm.upf
Ga 69.72 Ga.upf
CELL_PARAMETERS angstrom
5.0225 0.0000 0.0000
-2.5113 4.3496 0.0000
0.0000 0.0000 12.3343
ATOMIC_POSITIONS angstrom
Dy 0.0000 0.0000 0.0000
Dy 0.0000 0.0000 6.1672
Dy 0.0000 2.8998 2.0762
Dy 2.5113 1.4499 10.2582
Tm 0.0000 2.8998 8.2232
Tm 2.5113 1.4499 4.1111
Ga 0.0000 0.0000 3.0992
Ga 0.0000 0.0000 9.2351
Ga 0.0000 2.8998 5.1512
Ga 0.0000 2.8998 11.2971
Ga 2.5113 1.4499 1.0372
Ga 2.5113 1.4499 7.1831
```

## Properties
The calculation puts the calculated total energy at -0.32126 Ry/atom. For the energy above the most stable polymorph in this dataset, the calculation gives 0.0000 eV/atom. The calculation puts the formation enthalpy at 0 K at -0.578 eV per atom. The value obtained for the size of the total moment is 0.0 μB/f.u. Its space-group type is No. 164.